## a
Density functional theory data (GGA+U) for a relaxed Ca2AlCoO5 crystal.

abc: 5.267 5.589 8.338
angles: 109.76 108.80 88.93
Element x y z (fractional)
Al 0.295 0.328 0.503
Al 0.790 0.675 0.498
O 0.767 0.281 0.026
O 0.233 0.729 0.975
O 0.630 0.394 0.500
O 0.130 0.613 0.501
O 0.815 0.927 0.698
O 0.737 0.753 0.973
O 0.333 0.295 0.713
O 0.118 0.078 0.304
O 0.265 0.243 0.027
O 0.617 0.709 0.288
Ca 0.400 0.923 0.779
Ca 0.622 0.079 0.221
Ca 0.896 0.360 0.780
Ca 0.120 0.645 0.221
Co 0.998 0.001 0.999
Co 0.497 0.501 0.999

***

## b
Density functional theory data (GGA+U) for a relaxed Ca2AlCoO5 crystal.

abc: 3.119 6.368 10.636
angles: 90.00 90.00 104.18
Element x y z (fractional)
Co 0.532 0.064 0.948
Co 0.468 0.936 0.448
O 0.314 0.629 0.412
O 0.729 0.458 0.150
O 0.370 0.740 0.991
O 0.271 0.542 0.650
O 0.506 0.012 0.281
O 0.494 0.988 0.781
O 0.630 0.260 0.491
O 0.934 0.868 0.548
O 0.066 0.132 0.048
O 0.686 0.371 0.912
Ca 0.091 0.181 0.666
Ca 0.849 0.698 0.800
Ca 0.909 0.819 0.166
Ca 0.151 0.302 0.300
Al 0.217 0.435 0.027
Al 0.783 0.565 0.527

***

Most favorable first, least favorable last: a, b